[1]
Density functional theory data (PBE-GGA) for crystalline SrReAg at its relaxed geometry.

abc: 6.017 6.017 6.017
angles: 152.74 137.49 51.24
Positions (direct):
Sr 0.000 0.000 0.000
Re 0.704 0.704 0.000
Ag 0.292 0.292 0.000

Calculated values
V = 22.379 A^3/atom
ΔH_f (0 K) = 0.91 eV/atom
VASP energy = -4.752 eV per atom

---

[2]
Density functional theory data (PBE-GGA) for crystalline SrReAg at its relaxed geometry.

abc: 2.961 2.961 7.984
angles: 90.00 90.00 120.00
Positions (direct):
Sr 0.000 0.000 0.000
Re 0.333 0.667 0.663
Ag 0.667 0.333 0.364

Calculated values
V = 20.200 A^3/atom
ΔH_f (0 K) = 1.05 eV/atom
VASP energy = -4.611 eV per atom

---

[3]
Density functional theory data (PBE-GGA) for crystalline Sr2ReAg at its relaxed geometry.

abc: 3.886 3.886 9.684
angles: 94.40 94.40 46.36
Positions (direct):
Sr 0.243 0.243 0.235
Sr 0.757 0.757 0.765
Re 0.500 0.500 0.000
Ag 0.000 0.000 0.500

Calculated values
V = 26.371 A^3/atom
ΔH_f (0 K) = 0.86 eV/atom
VASP energy = -3.805 eV per atom

---

[4]
Density functional theory data (PBE-GGA) for crystalline Sr2ReAg at its relaxed geometry.

abc: 6.758 6.758 6.758
angles: 152.32 131.76 56.53
Positions (direct):
Sr 0.000 0.000 0.000
Sr 0.695 0.195 0.500
Re 0.452 0.452 0.000
Ag 0.265 0.765 0.500

Calculated values
V = 26.568 A^3/atom
ΔH_f (0 K) = 0.71 eV/atom
VASP energy = -3.953 eV per atom

---

[5]
Density functional theory data (PBE-GGA) for crystalline Sr2ReAg at its relaxed geometry.

abc: 3.492 3.492 8.788
angles: 90.00 90.00 90.00
Positions (direct):
Sr 0.000 0.000 0.234
Sr 0.000 0.000 0.766
Re 0.500 0.500 0.000
Ag 0.500 0.500 0.500

Calculated values
V = 26.787 A^3/atom
ΔH_f (0 K) = 0.68 eV/atom
VASP energy = -3.986 eV per atom

---

[6]
Density functional theory data (PBE-GGA) for crystalline SrReAg at its relaxed geometry.

abc: 5.114 5.114 2.820
angles: 90.00 90.00 120.00
Positions (direct):
Sr 0.000 0.000 0.000
Re 0.333 0.667 0.500
Ag 0.667 0.333 0.500

Calculated values
V = 21.293 A^3/atom
ΔH_f (0 K) = 0.96 eV/atom
VASP energy = -4.700 eV per atom

---

Number 1: energy above the most stable polymorph in this dataset 34.5 meV per atom. Number 2: energy above the most stable polymorph in this dataset 175.0 meV per atom. Number 3: energy above the most stable polymorph in this dataset 188.9 meV per atom. Number 4: energy above the most stable polymorph in this dataset 41.6 meV per atom. Number 5: energy above the most stable polymorph in this dataset 8.3 meV per atom. Number 6: energy above the most stable polymorph in this dataset 86.3 meV per atom.